# 1
Density functional theory data (GGA-PBE) for crystalline Li2ReIr at its relaxed geometry.

Total magnetic moment ... 0.0 μB per cell
Space group ... P4mm
Formation energy ... 0.3 eV/f.u.
Density of states at the Fermi level ... 4.19 states/eV per cell

Cell lengths 2.8178, 2.8178, 7.3226 Å; angles 90.00, 90.00, 90.00 degrees
Closest atoms and distances in Å follow each position.
Sites, in units of the cell vectors:
Li: 0.0000 0.0000 0.0000  4 Ir 2.65, 8 Li 2.76-2.82
Li: 0.5000 0.5000 0.2602  8 Li 2.76-2.82, 4 Re 2.81
Re: 0.0000 0.0000 0.5299  4 Ir 2.61, 4 Li 2.81, 4 Re 2.82
Ir: 0.5000 0.5000 0.7609  4 Re 2.61, 4 Li 2.65, 4 Ir 2.82


# 2
Density functional theory data (GGA-PBE) for crystalline LiReIr2 at its relaxed geometry.

Total magnetic moment ... 0.0 μB per cell
Space group ... I4/mmm
Formation energy ... -0.2 eV/f.u.
Density of states at the Fermi level ... 3.49 states/eV per cell

Cell lengths 4.5246, 4.5246, 4.5246 Å; angles 128.23, 128.23, 76.25 degrees
Closest atoms and distances in Å follow each position.
Sites, in units of the cell vectors:
Li: 0.0000 0.0000 0.0000  8 Ir 2.66, 4 Re 2.79
Re: 0.5000 0.5000 0.0000  8 Ir 2.66, 4 Li 2.79
Ir: 0.2500 0.7500 0.5000  4 Re 2.66, 4 Li 2.66, 4 Ir 2.79
Ir: 0.7500 0.2500 0.5000  4 Re 2.66, 4 Li 2.66, 4 Ir 2.79


# 3
Density functional theory data (GGA-PBE) for crystalline Li2ReIr at its relaxed geometry.

Total magnetic moment ... 0.0 μB per cell
Space group ... Pmmm
Formation energy ... 0.9 eV/f.u.
Density of states at the Fermi level ... 2.68 states/eV per cell

Cell lengths 2.6320, 4.3913, 4.9443 Å; angles 90.00, 90.00, 90.00 degrees
Closest atoms and distances in Å follow each position.
Sites, in units of the cell vectors:
Li: 0.0000 0.0000 0.2465  4 Li 2.44-2.63
Li: 0.0000 0.0000 0.7535  4 Li 2.44-2.63
Re: 0.5000 0.5000 0.5000  2 Ir 2.47, 2 Re 2.63
Ir: 0.5000 0.5000 0.0000  2 Re 2.47, 2 Ir 2.63


# 4
Density functional theory data (GGA-PBE) for crystalline LiReIr2 at its relaxed geometry.

Total magnetic moment ... 0.0 μB per cell
Space group ... I-42d
Formation energy ... 2.0 eV/f.u.
Density of states at the Fermi level ... 5.33 states/eV per cell

Cell lengths 5.7025, 5.7025, 5.7025 Å; angles 102.04, 102.04, 125.64 degrees
Closest atoms and distances in Å follow each position.
Sites, in units of the cell vectors:
Li: 0.0000 0.0000 0.0000  2 Re 2.60, 4 Ir 2.83
Li: 0.7500 0.2500 0.5000  2 Re 2.60, 4 Ir 2.83
Re: 0.2500 0.7500 0.5000  4 Ir 2.43, 2 Li 2.60
Re: 0.5000 0.5000 0.0000  4 Ir 2.43, 2 Li 2.60
Ir: 0.1662 0.6250 0.0412  2 Re 2.43, 2 Ir 2.67
Ir: 0.3750 0.4162 0.5412  2 Re 2.43, 2 Ir 2.67
Ir: 0.5838 0.1250 0.9588  2 Re 2.43, 2 Ir 2.67
Ir: 0.8750 0.8338 0.4588  2 Re 2.43, 2 Ir 2.67